No. 1
! CaHg4Pb | Alexandria via LeMat-Bulk | PBE | optimized geometry; values from VASP
&SYSTEM
  ibrav = 0, nat = 12, ntyp = 3
/
ATOMIC_SPECIES
Ca 40.08 Ca.upf
Pb 207.20 Pb.upf
Hg 200.59 Hg.upf
CELL_PARAMETERS angstrom
7.9292 0.4991 0.0000
-1.5557 6.5423 0.0000
-3.1867 -3.5207 6.2187
ATOMIC_POSITIONS angstrom
Ca 1.9823 0.1248 0.6896
Pb 1.2045 3.3960 2.0280
Pb 1.9823 0.1248 4.1906
Hg -0.9758 1.0171 5.2608
Hg 4.1626 2.5036 0.9578
Hg -2.9888 -1.2667 5.2608
Hg 3.9854 2.6649 4.0399
Hg -1.5765 4.1270 4.0399
Hg 4.7632 -0.6063 2.1788
Hg 6.1755 4.7874 0.9578
Hg -0.7986 0.8559 2.1788
Ca 1.2045 3.3960 5.5291
! Crystal system: monoclinic
! Relative energy among the computed polymorphs (eV/atom): 0.006
! DOS(E_F) (states/eV per cell): 4.63
! Symmetry: C2/c (15)
! Electronic total energy (eV per atom): -1.3580

=====

No. 2
! CaHg2Pb | Alexandria via LeMat-Bulk | PBE | optimized geometry; values from VASP
&SYSTEM
  ibrav = 0, nat = 4, ntyp = 3
/
ATOMIC_SPECIES
Hg 200.59 Hg.upf
Ca 40.08 Ca.upf
Pb 207.20 Pb.upf
CELL_PARAMETERS angstrom
3.9517 0.0000 0.0000
1.9758 3.4222 0.0000
1.9758 1.1407 8.8043
ATOMIC_POSITIONS angstrom
Hg 1.9758 1.1407 6.6425
Ca 5.9275 3.4222 8.8010
Hg 1.9758 1.1407 2.1589
Pb 3.9517 2.2815 4.4083
! Crystal system: trigonal
! DOS(E_F) (states/eV per cell): 1.30
! Symmetry: R3m (160)
! Electronic total energy (eV per atom): -1.8273

=====

No. 3
! Ca2HgPb | Alexandria via LeMat-Bulk | PBE | optimized geometry; values from VASP
&SYSTEM
  ibrav = 0, nat = 4, ntyp = 3
/
ATOMIC_SPECIES
Ca 40.08 Ca.upf
Pb 207.20 Pb.upf
Hg 200.59 Hg.upf
CELL_PARAMETERS angstrom
-0.3620 3.8918 0.1996
-3.8934 -0.3526 -0.1860
-0.3591 -0.4640 8.3974
ATOMIC_POSITIONS angstrom
Ca -2.2395 1.6251 2.6217
Pb -2.3872 1.4342 6.0769
Ca -0.3459 -0.4470 8.0901
Hg -0.1804 -0.2331 4.2184
! Crystal system: tetragonal
! DOS(E_F) (states/eV per cell): 2.70
! Symmetry: P4mm (99)
! Electronic total energy (eV per atom): -2.3040

=====

No. 4
! CaHg3Pb2 | Alexandria via LeMat-Bulk | PBE | optimized geometry; values from VASP
&SYSTEM
  ibrav = 0, nat = 12, ntyp = 3
/
ATOMIC_SPECIES
Pb 207.20 Pb.upf
Hg 200.59 Hg.upf
Ca 40.08 Ca.upf
CELL_PARAMETERS angstrom
5.2222 0.0000 0.0202
2.6111 7.9071 0.0101
-0.0311 0.0000 8.0100
ATOMIC_POSITIONS angstrom
Pb 0.0000 0.0000 0.0000
Hg 2.6038 5.1425 1.9156
Hg 2.5880 0.0000 5.9651
Ca 2.6111 2.4583 0.0101
Ca 5.2222 5.4487 0.0202
Hg 2.6031 0.0000 2.0652
Pb 2.5956 2.6069 4.0151
Hg 2.5874 5.1425 6.1147
Hg 5.2149 2.7645 1.9257
Pb -0.0155 0.0000 4.0050
Pb 5.2067 5.3001 4.0253
Hg 5.1985 2.7645 6.1248
! Crystal system: orthorhombic
! Relative energy among the computed polymorphs (eV/atom): 0.000
! DOS(E_F) (states/eV per cell): 5.12
! Symmetry: Cmmm (65)
! Electronic total energy (eV per atom): -1.9420

=====

No. 5
! CaHg5Pb2 | Alexandria via LeMat-Bulk | PBE | optimized geometry; values from VASP
&SYSTEM
  ibrav = 0, nat = 8, ntyp = 3
/
ATOMIC_SPECIES
Pb 207.20 Pb.upf
Hg 200.59 Hg.upf
Ca 40.08 Ca.upf
CELL_PARAMETERS angstrom
-2.2048 -3.4856 -2.5330
0.7545 -3.1137 3.6279
-7.3294 5.6877 3.1772
ATOMIC_POSITIONS angstrom
Pb -3.9198 1.1622 1.8126
Hg -0.7251 -3.2996 0.5475
Hg -1.5410 -0.9881 2.7010
Pb -4.8599 -2.0738 2.4595
Ca 0.0000 0.0000 0.0000
Hg -7.2387 0.0765 1.5711
Hg -5.7590 0.2625 4.6515
Hg -3.0206 -1.1741 -0.3795
! Crystal system: tetragonal
! Relative energy among the computed polymorphs (eV/atom): 0.000
! DOS(E_F) (states/eV per cell): 1.88
! Symmetry: I4/mmm (139)
! Electronic total energy (eV per atom): -1.5607

=====

No. 6
! Ca2HgPb | Alexandria via LeMat-Bulk | PBE | optimized geometry; values from VASP
&SYSTEM
  ibrav = 0, nat = 4, ntyp = 3
/
ATOMIC_SPECIES
Ca 40.08 Ca.upf
Hg 200.59 Hg.upf
Pb 207.20 Pb.upf
CELL_PARAMETERS angstrom
6.2661 0.0269 0.0000
2.7151 5.6474 0.0000
-4.4906 -2.8371 3.3242
ATOMIC_POSITIONS angstrom
Ca 0.0000 0.0000 0.0000
Hg 4.4906 2.8371 0.0000
Pb 3.1331 0.0134 1.6621
Ca 1.3576 2.8237 1.6621
! Crystal system: tetragonal
! DOS(E_F) (states/eV per cell): 2.46
! Symmetry: I-4m2 (119)
! Electronic total energy (eV per atom): -2.4176

=====

No. 7
! Ca3HgPb | Alexandria via LeMat-Bulk | PBE | optimized geometry; values from VASP
&SYSTEM
  ibrav = 0, nat = 10, ntyp = 3
/
ATOMIC_SPECIES
Ca 40.08 Ca.upf
Hg 200.59 Hg.upf
Pb 207.20 Pb.upf
CELL_PARAMETERS angstrom
-4.3537 2.5369 2.0437
-1.7073 -4.6872 2.1813
3.2655 3.4319 9.9302
ATOMIC_POSITIONS angstrom
Ca -1.9359 -2.3925 3.5359
Ca 0.0282 -1.6117 6.7509
Hg -1.0895 0.0777 9.5062
Hg -0.1750 0.3117 3.9303
Pb -3.1429 -0.7386 6.1451
Pb -2.4752 3.6649 9.3351
Ca -1.2927 2.0012 6.6857
Ca 0.6714 2.7820 9.9007
Ca -3.2597 1.2192 3.4659
Ca -2.3584 1.7070 12.0142
! Crystal system: orthorhombic
! Relative energy among the computed polymorphs (eV/atom): 0.000
! DOS(E_F) (states/eV per cell): 3.57
! Symmetry: Cmcm (63)
! Electronic total energy (eV per atom): -2.4885

=====

No. 8
! CaHg2Pb | Alexandria via LeMat-Bulk | PBE | optimized geometry; values from VASP
&SYSTEM
  ibrav = 0, nat = 4, ntyp = 3
/
ATOMIC_SPECIES
Hg 200.59 Hg.upf
Ca 40.08 Ca.upf
Pb 207.20 Pb.upf
CELL_PARAMETERS angstrom
-2.5668 3.3086 3.5920
-2.7969 0.5087 -2.4671
-2.7457 -4.3378 2.0335
ATOMIC_POSITIONS angstrom
Hg -2.7802 -1.9350 -0.2044
Ca -5.4403 -1.2176 1.4708
Pb -2.6690 0.6970 1.6876
Hg -2.7368 -4.3174 2.0211
! Crystal system: monoclinic
! DOS(E_F) (states/eV per cell): 1.74
! Symmetry: P2/m (10)
! Electronic total energy (eV per atom): -1.8487

=====

No. 9
! CaHg2Pb | Alexandria via LeMat-Bulk | PBE | optimized geometry; values from VASP
&SYSTEM
  ibrav = 0, nat = 4, ntyp = 3
/
ATOMIC_SPECIES
Hg 200.59 Hg.upf
Pb 207.20 Pb.upf
Ca 40.08 Ca.upf
CELL_PARAMETERS angstrom
-3.5343 -1.2907 0.0197
0.1615 -0.3851 3.7491
-2.6172 7.1798 0.8503
ATOMIC_POSITIONS angstrom
Hg -1.3265 3.6390 0.4310
Hg -2.5994 7.1307 0.8445
Pb -2.3407 0.9570 2.0969
Ca -3.6493 4.5469 2.5221
! Crystal system: tetragonal
! DOS(E_F) (states/eV per cell): 1.75
! Symmetry: P4/mmm (123)
! Electronic total energy (eV per atom): -1.9145

=====

No. 10
! Ca3HgPb | Alexandria via LeMat-Bulk | PBE | optimized geometry; values from VASP
&SYSTEM
  ibrav = 0, nat = 10, ntyp = 3
/
ATOMIC_SPECIES
Hg 200.59 Hg.upf
Ca 40.08 Ca.upf
Pb 207.20 Pb.upf
CELL_PARAMETERS angstrom
3.8627 -0.0002 -0.0006
0.0018 10.0230 0.6365
0.0028 4.0824 9.1794
ATOMIC_POSITIONS angstrom
Hg 1.4009 7.9641 2.7007
Ca 3.3340 9.6531 4.5758
Pb 3.3364 2.9523 2.3884
Hg 1.4083 4.9924 6.9754
Ca 3.3330 6.2697 0.8309
Pb 1.4063 10.0045 7.2940
Ca 1.4049 5.1203 3.8955
Ca 3.3394 7.3353 7.9024
Ca 3.3405 12.6731 6.6819
Ca 1.4048 0.7882 0.8772
! Crystal system: triclinic
! Relative energy among the computed polymorphs (eV/atom): 0.123
! DOS(E_F) (states/eV per cell): 8.75
! Symmetry: P1 (1)
! Electronic total energy (eV per atom): -2.3659

=====

No. 11
! CaHg3Pb5 | Alexandria via LeMat-Bulk | PBE | optimized geometry; values from VASP
&SYSTEM
  ibrav = 0, nat = 18, ntyp = 3
/
ATOMIC_SPECIES
Hg 200.59 Hg.upf
Pb 207.20 Pb.upf
Ca 40.08 Ca.upf
CELL_PARAMETERS angstrom
-0.7758 -7.6274 3.9143
6.0008 -1.9321 5.8616
-2.9191 -0.1707 10.6578
ATOMIC_POSITIONS angstrom
Hg 1.7389 -7.3290 15.3840
Pb 1.8290 -2.5954 12.8028
Pb 1.4136 -5.7874 4.5435
Pb 0.4769 -7.1347 7.6310
Ca -1.0961 -1.5248 8.2742
Hg 0.5670 -2.4012 5.0498
Pb -1.5783 -2.3886 12.4786
Pb 4.1961 -4.0090 8.6997
Hg 2.1767 -6.0612 10.1528
Pb 3.8842 -7.3416 7.9552
Hg 0.1292 -3.6690 10.2810
Pb 1.1983 -3.9914 7.5037
Pb 1.1076 -5.7388 12.9300
Pb 3.8114 -3.7722 5.2325
Ca 3.4020 -8.2054 12.1596
Pb -1.8901 -5.7212 11.7340
Hg -1.4596 -0.0853 5.3289
Hg 0.0000 0.0000 0.0000
! Crystal system: monoclinic
! DOS(E_F) (states/eV per cell): 7.46
! Symmetry: C2/m (12)
! Electronic total energy (eV per atom): -2.3526